The following is a meta-GGA SCAN calculation of a PBEsol-optimized structure of Al5Ag, from Alexandria via LeMat-Bulk.

```
data_Al5Ag
_symmetry_space_group_name_H-M 'P 1'
_symmetry_Int_Tables_number 1
_cell_length_a 2.847
_cell_length_b 4.932
_cell_length_c 7.491
_cell_angle_alpha 108.89
_cell_angle_beta 100.95
_cell_angle_gamma 90.00
loop_
_symmetry_equiv_pos_as_xyz
'x,y,z'
loop_
_atom_site_label
_atom_site_type_symbol
_atom_site_fract_x
_atom_site_fract_y
_atom_site_fract_z
Al1 Al 0.169 0.505 0.338
Al2 Al 0.334 0.001 0.668
Al3 Al 0.500 0.500 0.000
Al4 Al 0.666 0.999 0.332
Al5 Al 0.831 0.495 0.662
Ag1 Ag 0.000 0.000 0.000
```

Results
SG: C2/m (12)
Energy above the lowest structure with this stoichiometry (eV per formula unit): 0.09
Energy of formation (meV/atom): -18